Entry 1:
{
  "formula": "Zr2PaMnN4",
  "functional": "PBE-GGA",
  "state": "optimized geometry",
  "n_ef_per_ev_fu": 2.7,
  "total_energy_ev_per_atom": -9.91,
  "magnetic_moment_mub_per_atom": 0.51,
  "raw_formation_energy_ev_per_atom": -1.28,
  "lattice": [[3.328, 0.000, 0.000], [0.000, 5.789, -0.223], [0.000, 1.945, 5.249]],
  "species": ["Zr", "Zr", "Pa", "Mn", "N", "N", "N", "N"],
  "fractional_positions": [[0.000, 0.000, 0.000], [0.500, 0.000, 0.500], [0.000, 0.500, 0.500], [0.500, 0.500, 0.000], [0.000, 0.760, 0.738], [0.000, 0.240, 0.262], [0.500, 0.758, 0.243], [0.500, 0.242, 0.757]]
}

---

Entry 2:
{
  "formula": "MnPbN2",
  "functional": "PBE-GGA",
  "state": "optimized geometry",
  "n_ef_per_ev_fu": 2.3,
  "total_energy_ev_per_atom": -7.19,
  "magnetic_moment_mub_per_atom": 0.00,
  "raw_formation_energy_ev_per_atom": 0.19,
  "lattice": [[5.394, 0.000, 0.000], [0.000, 5.394, 0.000], [2.697, 2.697, 4.041]],
  "species": ["Pb", "Pb", "Mn", "Mn", "N", "N", "N", "N"],
  "fractional_positions": [[0.000, 0.000, 0.000], [0.750, 0.250, 0.500], [0.500, 0.500, 0.000], [0.250, 0.750, 0.500], [0.483, 0.125, 0.250], [0.267, 0.625, 0.250], [0.375, 0.517, 0.750], [0.875, 0.733, 0.750]]
}

---

Entry 3:
{
  "formula": "MnPbN2",
  "functional": "PBE-GGA",
  "state": "optimized geometry",
  "n_ef_per_ev_fu": 2.5,
  "total_energy_ev_per_atom": -7.22,
  "magnetic_moment_mub_per_atom": 0.00,
  "raw_formation_energy_ev_per_atom": 0.16,
  "lattice": [[5.284, 0.000, 0.000], [0.000, 5.832, 0.000], [0.000, 0.000, 7.676]],
  "species": ["Mn", "Mn", "Mn", "Mn", "Pb", "Pb", "Pb", "Pb", "N", "N", "N", "N", "N", "N", "N", "N"],
  "fractional_positions": [[0.989, 0.508, 0.873], [0.489, 0.492, 0.127], [0.489, 0.992, 0.373], [0.989, 0.008, 0.627], [0.007, 0.579, 0.369], [0.507, 0.421, 0.631], [0.507, 0.921, 0.869], [0.007, 0.079, 0.131], [0.319, 0.503, 0.923], [0.819, 0.497, 0.077], [0.819, 0.997, 0.423], [0.319, 0.003, 0.577], [0.407, 0.740, 0.253], [0.907, 0.260, 0.747], [0.907, 0.760, 0.753], [0.407, 0.240, 0.247]]
}

---

Entry 4:
{
  "formula": "Mn2PbN2",
  "functional": "PBE-GGA",
  "state": "optimized geometry",
  "n_ef_per_ev_fu": 3.6,
  "total_energy_ev_per_atom": -7.58,
  "magnetic_moment_mub_per_atom": 0.76,
  "raw_formation_energy_ev_per_atom": 0.16,
  "lattice": [[-3.100, 3.100, 4.300], [3.100, -3.100, 4.300], [3.100, 3.100, -4.300]],
  "species": ["Mn", "Mn", "Mn", "Mn", "Pb", "Pb", "N", "N", "N", "N"],
  "fractional_positions": [[0.359, 0.859, 0.217], [0.641, 0.141, 0.783], [0.859, 0.641, 0.500], [0.141, 0.359, 0.500], [0.750, 0.750, 0.000], [0.250, 0.250, 0.000], [0.847, 0.347, 0.193], [0.153, 0.653, 0.807], [0.347, 0.153, 0.500], [0.653, 0.847, 0.500]]
}

---

Entry 5:
{
  "formula": "MnPbN2",
  "functional": "PBE-GGA",
  "state": "optimized geometry",
  "n_ef_per_ev_fu": 2.2,
  "total_energy_ev_per_atom": -7.16,
  "magnetic_moment_mub_per_atom": 0.35,
  "raw_formation_energy_ev_per_atom": 0.22,
  "lattice": [[-1.120, 0.615, -3.344], [2.811, -1.814, -1.275], [-5.136, -8.118, 0.228]],
  "species": ["Mn", "Mn", "Pb", "Pb", "N", "N", "N", "N"],
  "fractional_positions": [[0.000, 0.500, 0.573], [0.500, 0.000, 0.427], [0.000, 0.500, 0.142], [0.500, 0.000, 0.858], [0.000, 0.000, 0.500], [0.500, 0.500, 0.500], [0.000, 0.500, 0.746], [0.500, 0.000, 0.254]]
}

---

Entry 6:
{
  "formula": "MnPbN3",
  "functional": "PBE-GGA",
  "state": "optimized geometry",
  "n_ef_per_ev_fu": 4.1,
  "total_energy_ev_per_atom": -5.35,
  "magnetic_moment_mub_per_atom": 0.43,
  "raw_formation_energy_ev_per_atom": 2.22,
  "lattice": [[4.260, 0.000, 0.000], [0.000, 4.260, 0.000], [0.000, 0.000, 4.260]],
  "species": ["Pb", "Mn", "N", "N", "N"],
  "fractional_positions": [[0.000, 0.000, 0.000], [0.500, 0.500, 0.500], [0.000, 0.500, 0.000], [0.000, 0.000, 0.500], [0.500, 0.000, 0.000]]
}

---

Entry 7:
{
  "formula": "MnPb3N3",
  "functional": "PBE-GGA",
  "state": "optimized geometry",
  "n_ef_per_ev_fu": 2.0,
  "total_energy_ev_per_atom": -6.07,
  "magnetic_moment_mub_per_atom": 0.23,
  "raw_formation_energy_ev_per_atom": 0.40,
  "lattice": [[-2.483, 5.078, 5.746], [0.449, 2.484, -7.655], [-4.897, -1.514, -0.778]],
  "species": ["Mn", "Mn", "Pb", "Pb", "Pb", "Pb", "Pb", "Pb", "N", "N", "N", "N", "N", "N"],
  "fractional_positions": [[0.667, 0.333, 0.750], [0.333, 0.667, 0.250], [0.911, 0.609, 0.250], [0.697, 0.089, 0.250], [0.391, 0.303, 0.250], [0.089, 0.391, 0.750], [0.303, 0.911, 0.750], [0.609, 0.697, 0.750], [0.891, 0.541, 0.750], [0.650, 0.109, 0.750], [0.459, 0.350, 0.750], [0.109, 0.459, 0.250], [0.350, 0.891, 0.250], [0.541, 0.650, 0.250]]
}

---

Entry 8:
{
  "formula": "MnPbN2",
  "functional": "PBE-GGA",
  "state": "optimized geometry",
  "n_ef_per_ev_fu": 2.0,
  "total_energy_ev_per_atom": -7.01,
  "magnetic_moment_mub_per_atom": 0.56,
  "raw_formation_energy_ev_per_atom": 0.37,
  "lattice": [[1.780, 0.000, 6.663], [-0.890, 1.541, 6.663], [-0.890, -1.541, 6.663]],
  "species": ["Pb", "Mn", "N", "N"],
  "fractional_positions": [[0.000, 0.000, 0.000], [0.500, 0.500, 0.500], [0.880, 0.880, 0.880], [0.120, 0.120, 0.120]]
}

---

Entry 9:
{
  "formula": "Mn3Pb3N5",
  "functional": "PBE-GGA",
  "state": "optimized geometry",
  "n_ef_per_ev_fu": 6.5,
  "total_energy_ev_per_atom": -7.14,
  "magnetic_moment_mub_per_atom": 0.02,
  "raw_formation_energy_ev_per_atom": 0.16,
  "lattice": [[-3.618, 2.844, 3.335], [0.562, -6.052, 4.328], [7.019, 4.201, 1.621]],
  "species": ["Mn", "Mn", "Mn", "Mn", "Mn", "Mn", "Pb", "Pb", "Pb", "Pb", "Pb", "Pb", "N", "N", "N", "N", "N", "N", "N", "N", "N", "N"],
  "fractional_positions": [[0.935, 0.322, 0.971], [0.065, 0.678, 0.029], [0.684, 0.991, 0.597], [0.316, 0.009, 0.403], [0.080, 0.926, 0.724], [0.920, 0.074, 0.276], [0.761, 0.440, 0.544], [0.239, 0.560, 0.456], [0.567, 0.806, 0.864], [0.433, 0.194, 0.136], [0.622, 0.669, 0.227], [0.378, 0.331, 0.773], [0.924, 0.138, 0.776], [0.076, 0.862, 0.224], [0.823, 0.788, 0.574], [0.177, 0.212, 0.426], [0.772, 0.523, 0.971], [0.228, 0.477, 0.029], [0.347, 0.950, 0.607], [0.653, 0.050, 0.393], [0.119, 0.808, 0.887], [0.881, 0.192, 0.113]]
}

---

Entry 10:
{
  "formula": "MnPbN2",
  "functional": "PBE-GGA",
  "state": "optimized geometry",
  "n_ef_per_ev_fu": 2.6,
  "total_energy_ev_per_atom": -6.54,
  "magnetic_moment_mub_per_atom": 0.98,
  "raw_formation_energy_ev_per_atom": 0.84,
  "lattice": [[4.228, -2.584, 4.138], [5.702, 0.367, 3.005], [3.298, 0.476, 5.529]],
  "species": ["Pb", "Mn", "N", "N"],
  "fractional_positions": [[0.500, 0.500, 0.500], [0.000, 0.000, 0.000], [0.899, 0.899, 0.899], [0.101, 0.101, 0.101]]
}

---

Entry 11:
{
  "formula": "MnPdPb2N",
  "functional": "PBE-GGA",
  "state": "optimized geometry",
  "n_ef_per_ev_fu": 3.5,
  "total_energy_ev_per_atom": -4.62,
  "magnetic_moment_mub_per_atom": 1.04,
  "raw_formation_energy_ev_per_atom": 1.40,
  "lattice": [[-2.783, -3.246, -2.956], [2.923, -3.538, 1.133], [-2.990, -1.161, 4.090]],
  "species": ["Pb", "Pb", "Mn", "Pd", "N"],
  "fractional_positions": [[0.000, 0.000, 0.500], [0.500, 0.000, 0.000], [0.000, 0.000, 0.000], [0.000, 0.500, 0.000], [0.500, 0.500, 0.500]]
}

---

Entry 12:
{
  "formula": "MnRePb2N",
  "functional": "PBE-GGA",
  "state": "optimized geometry",
  "n_ef_per_ev_fu": 5.3,
  "total_energy_ev_per_atom": -6.55,
  "magnetic_moment_mub_per_atom": 0.56,
  "raw_formation_energy_ev_per_atom": 0.92,
  "lattice": [[-0.446, -4.955, 0.835], [2.904, -0.590, -1.950], [2.863, 0.438, 4.130]],
  "species": ["Pb", "Pb", "Re", "Mn", "N"],
  "fractional_positions": [[0.000, 0.000, 0.500], [0.500, 0.000, 0.000], [0.500, 0.500, 0.500], [0.000, 0.500, 0.000], [0.000, 0.000, 0.000]]
}

---

Entry 13:
{
  "formula": "MnPbS2N",
  "functional": "PBE-GGA",
  "state": "optimized geometry",
  "n_ef_per_ev_fu": 1.9,
  "total_energy_ev_per_atom": -4.74,
  "relative_energy_ev_per_atom": 1.171,
  "magnetic_moment_mub_per_atom": 1.28,
  "raw_formation_energy_ev_per_atom": 1.15,
  "lattice": [[-2.191, 0.582, -4.724], [-2.682, -4.447, 0.696], [-3.170, 2.184, 1.740]],
  "species": ["Pb", "S", "S", "Mn", "N"],
  "fractional_positions": [[0.000, 0.000, 0.000], [0.000, 0.500, 0.000], [0.500, 0.000, 0.000], [0.500, 0.500, 0.500], [0.000, 0.000, 0.500]]
}

---

Entry 14:
{
  "formula": "MnPbSN2",
  "functional": "PBE-GGA",
  "state": "optimized geometry",
  "n_ef_per_ev_fu": 3.6,
  "total_energy_ev_per_atom": -5.07,
  "relative_energy_ev_per_atom": 1.140,
  "magnetic_moment_mub_per_atom": 1.42,
  "raw_formation_energy_ev_per_atom": 1.66,
  "lattice": [[-0.324, -4.105, 0.965], [0.822, -1.011, -4.023], [5.464, -0.160, 1.156]],
  "species": ["Pb", "S", "Mn", "N", "N"],
  "fractional_positions": [[0.000, 0.000, 0.000], [0.000, 0.000, 0.500], [0.500, 0.500, 0.500], [0.000, 0.500, 0.000], [0.500, 0.000, 0.000]]
}

---

Entry 15:
{
  "formula": "MnPbSN2",
  "functional": "PBE-GGA",
  "state": "optimized geometry",
  "n_ef_per_ev_fu": 3.4,
  "total_energy_ev_per_atom": -6.21,
  "relative_energy_ev_per_atom": 0.000,
  "magnetic_moment_mub_per_atom": 0.05,
  "raw_formation_energy_ev_per_atom": 0.52,
  "lattice": [[3.796, 0.000, 0.000], [0.000, 3.796, 0.000], [0.000, 0.000, 4.987]],
  "species": ["Pb", "S", "Mn", "N", "N"],
  "fractional_positions": [[0.500, 0.500, 0.500], [0.000, 0.000, 0.500], [0.000, 0.000, 0.000], [0.000, 0.500, 0.000], [0.500, 0.000, 0.000]]
}

---

Entry 16:
{
  "formula": "MnPbS2N",
  "functional": "PBE-GGA",
  "state": "optimized geometry",
  "n_ef_per_ev_fu": 2.2,
  "total_energy_ev_per_atom": -5.91,
  "relative_energy_ev_per_atom": 0.000,
  "magnetic_moment_mub_per_atom": 0.40,
  "raw_formation_energy_ev_per_atom": -0.02,
  "lattice": [[-3.974, 0.822, -2.957], [2.029, -2.927, -3.540], [-1.691, -2.935, 1.457]],
  "species": ["Pb", "S", "S", "Mn", "N"],
  "fractional_positions": [[0.500, 0.500, 0.500], [0.000, 0.500, 0.000], [0.500, 0.000, 0.000], [0.000, 0.000, 0.000], [0.000, 0.000, 0.500]]
}

---

Entry 17:
{
  "formula": "ScMnPb2N",
  "functional": "PBE-GGA",
  "state": "optimized geometry",
  "n_ef_per_ev_fu": 3.7,
  "total_energy_ev_per_atom": -6.07,
  "relative_energy_ev_per_atom": 0.019,
  "magnetic_moment_mub_per_atom": 0.43,
  "raw_formation_energy_ev_per_atom": 0.18,
  "lattice": [[5.599, 0.000, 0.000], [0.000, 3.473, 0.000], [0.000, 0.000, 5.599]],
  "species": ["Pb", "Pb", "Sc", "Mn", "N"],
  "fractional_positions": [[0.000, 0.000, 0.500], [0.500, 0.000, 0.000], [0.500, 0.500, 0.500], [0.000, 0.000, 0.000], [0.000, 0.500, 0.000]]
}

---

Entry 18:
{
  "formula": "ScMnPb2N",
  "functional": "PBE-GGA",
  "state": "optimized geometry",
  "n_ef_per_ev_fu": 4.0,
  "total_energy_ev_per_atom": -6.09,
  "relative_energy_ev_per_atom": 0.000,
  "magnetic_moment_mub_per_atom": 0.78,
  "raw_formation_energy_ev_per_atom": 0.16,
  "lattice": [[-0.920, -4.491, 2.436], [4.037, -0.534, 0.540], [-0.273, 2.515, 4.533]],
  "species": ["Pb", "Pb", "Sc", "Mn", "N"],
  "fractional_positions": [[0.000, 0.000, 0.500], [0.500, 0.000, 0.000], [0.000, 0.500, 0.000], [0.500, 0.500, 0.500], [0.000, 0.000, 0.000]]
}

---

Entry 19:
{
  "formula": "MnPbSe2N",
  "functional": "PBE-GGA",
  "state": "optimized geometry",
  "n_ef_per_ev_fu": 2.1,
  "total_energy_ev_per_atom": -4.51,
  "relative_energy_ev_per_atom": 1.157,
  "magnetic_moment_mub_per_atom": 1.28,
  "raw_formation_energy_ev_per_atom": 1.12,
  "lattice": [[-5.243, 1.647, -0.058], [-1.178, -3.610, 3.973], [0.891, 2.938, 2.933]],
  "species": ["Pb", "Mn", "Se", "Se", "N"],
  "fractional_positions": [[0.000, 0.000, 0.000], [0.500, 0.500, 0.500], [0.000, 0.500, 0.000], [0.500, 0.000, 0.000], [0.000, 0.000, 0.500]]
}

---

Entry 20:
{
  "formula": "MnPbSe2N",
  "functional": "PBE-GGA",
  "state": "optimized geometry",
  "n_ef_per_ev_fu": 1.6,
  "total_energy_ev_per_atom": -5.67,
  "relative_energy_ev_per_atom": 0.000,
  "magnetic_moment_mub_per_atom": 0.39,
  "raw_formation_energy_ev_per_atom": -0.03,
  "lattice": [[-4.753, -1.495, 1.596], [1.564, -4.993, -0.018], [1.047, 0.315, 3.413]],
  "species": ["Pb", "Mn", "Se", "Se", "N"],
  "fractional_positions": [[0.500, 0.500, 0.500], [0.000, 0.000, 0.000], [0.000, 0.500, 0.000], [0.500, 0.000, 0.000], [0.000, 0.000, 0.500]]
}

---

Entry 21:
{
  "formula": "Sr2MnPbN",
  "functional": "PBE-GGA",
  "state": "optimized geometry",
  "n_ef_per_ev_fu": 3.0,
  "total_energy_ev_per_atom": -5.32,
  "magnetic_moment_mub_per_atom": 0.79,
  "raw_formation_energy_ev_per_atom": -0.41,
  "lattice": [[5.680, 0.000, 0.000], [0.000, 5.680, 0.000], [0.000, 0.000, 3.843]],
  "species": ["Pb", "Sr", "Sr", "Mn", "N"],
  "fractional_positions": [[0.500, 0.500, 0.500], [0.000, 0.500, 0.000], [0.500, 0.000, 0.000], [0.000, 0.000, 0.500], [0.000, 0.000, 0.000]]
}

---

Entry 22:
{
  "formula": "MnPd2N",
  "functional": "PBE-GGA",
  "state": "optimized geometry",
  "n_ef_per_ev_fu": 2.5,
  "total_energy_ev_per_atom": -6.66,
  "magnetic_moment_mub_per_atom": 0.82,
  "raw_formation_energy_ev_per_atom": 0.31,
  "lattice": [[7.813, 0.000, 0.000], [0.000, 7.813, 0.000], [3.906, 3.906, 1.888]],
  "species": ["Mn", "Mn", "Pd", "Pd", "Pd", "Pd", "N", "N"],
  "fractional_positions": [[0.000, 0.000, 0.000], [0.750, 0.250, 0.500], [0.491, 0.125, 0.250], [0.259, 0.625, 0.250], [0.375, 0.509, 0.750], [0.875, 0.741, 0.750], [0.500, 0.500, 0.000], [0.250, 0.750, 0.500]]
}

---

Entry 23:
{
  "formula": "Mn2PdN",
  "functional": "PBE-GGA",
  "state": "optimized geometry",
  "n_ef_per_ev_fu": 6.8,
  "total_energy_ev_per_atom": -7.83,
  "magnetic_moment_mub_per_atom": 0.00,
  "raw_formation_energy_ev_per_atom": 0.14,
  "lattice": [[5.879, 0.000, 0.000], [0.000, 5.879, 0.000], [2.940, 2.940, 2.652]],
  "species": ["Mn", "Mn", "Mn", "Mn", "Pd", "Pd", "N", "N"],
  "fractional_positions": [[0.519, 0.125, 0.250], [0.231, 0.625, 0.250], [0.375, 0.481, 0.750], [0.875, 0.769, 0.750], [0.000, 0.000, 0.000], [0.750, 0.250, 0.500], [0.500, 0.500, 0.000], [0.250, 0.750, 0.500]]
}

---

Entry 24:
{
  "formula": "MnPdN",
  "functional": "PBE-GGA",
  "state": "optimized geometry",
  "n_ef_per_ev_fu": 1.8,
  "total_energy_ev_per_atom": -7.69,
  "relative_energy_ev_per_atom": 0.000,
  "magnetic_moment_mub_per_atom": 1.06,
  "raw_formation_energy_ev_per_atom": -0.12,
  "lattice": [[2.835, 0.000, 0.000], [0.000, 2.835, 0.000], [0.000, 0.000, 4.310]],
  "species": ["Mn", "Pd", "N"],
  "fractional_positions": [[0.500, 0.500, 0.766], [0.000, 0.000, 0.266], [0.000, 0.000, 0.766]]
}

---

Entry 25:
{
  "formula": "Mn2PdN",
  "functional": "PBE-GGA",
  "state": "optimized geometry",
  "n_ef_per_ev_fu": 2.8,
  "total_energy_ev_per_atom": -8.17,
  "magnetic_moment_mub_per_atom": 1.42,
  "raw_formation_energy_ev_per_atom": -0.20,
  "lattice": [[-1.095, 0.324, -2.615], [-1.262, -2.203, -1.301], [-6.525, 1.114, 1.314]],
  "species": ["Mn", "Mn", "Pd", "N"],
  "fractional_positions": [[0.777, 0.777, 0.669], [0.223, 0.223, 0.331], [0.000, 0.000, 0.000], [0.500, 0.500, 0.500]]
}

---

Entry 26:
{
  "formula": "Mn2PdN",
  "functional": "PBE-GGA",
  "state": "optimized geometry",
  "n_ef_per_ev_fu": 2.3,
  "total_energy_ev_per_atom": -8.16,
  "magnetic_moment_mub_per_atom": 1.38,
  "raw_formation_energy_ev_per_atom": -0.19,
  "lattice": [[2.856, 0.000, 0.000], [1.428, 2.474, 0.000], [1.428, 0.825, 6.510]],
  "species": ["Mn", "Mn", "Pd", "N"],
  "fractional_positions": [[0.057, 0.057, 0.828], [0.278, 0.278, 0.167], [0.499, 0.499, 0.502], [0.666, 0.666, 0.002]]
}